--- P ---
GGA-PBE Ga2SnPb2, relaxed; DOS(E_F) = 2.25 states/eV/f.u.; symmetry = P4/mbm (127)
1.0
8.914 0.000 0.000
0.000 8.914 0.000
0.000 0.000 3.403
Pb Sn Ga
4 2 4
Direct
0.318 0.818 0.000
0.818 0.682 0.000
0.682 0.182 0.000
0.182 0.318 0.000
0.000 0.000 0.000
0.500 0.500 0.000
0.113 0.613 0.500
0.613 0.887 0.500
0.887 0.387 0.500
0.387 0.113 0.500

***

--- Q ---
GGA-PBE Ga2SnPb2, relaxed; DOS(E_F) = 1.75 states/eV/f.u.; symmetry = C2/m (12)
1.0
4.075 -0.010 1.715
1.365 5.425 2.355
-0.203 0.396 6.053
Ga Sn Pb
2 1 2
Direct
0.000 0.205 0.295
0.000 0.795 0.705
0.500 0.500 0.000
0.282 0.218 0.717
0.718 0.782 0.283

***

Name the least stable of them. P.